Computed, not measured: a relaxed structure of VS6Cl12 at the PBE-GGA level of DFT.

Values from the calculation:
For the total moment, the calculation gives 1.00 μB per formula unit. For the uncorrected formation energy, the calculation gives -0.24 eV/atom. Its space group is R-3.

Unit cell a=13.1169 b=13.1169 c=13.1169 alpha=32.86 beta=32.86 gamma=32.86
Last column: nearest neighbours and their distance in Å.
Positions (direct):
V1 0.0000 0.0000 0.0000  6 Cl 2.32
S1 0.1114 0.2144 0.4431  1 Cl 2.12, 2 S 2.18
S2 0.2144 0.4431 0.1114  1 Cl 2.12, 2 S 2.18
S3 0.4431 0.1114 0.2144  1 Cl 2.12, 2 S 2.18
S4 0.5569 0.8886 0.7856  1 Cl 2.12, 2 S 2.18
S5 0.7856 0.5569 0.8886  1 Cl 2.12, 2 S 2.18
S6 0.8886 0.7856 0.5569  1 Cl 2.12, 2 S 2.18
Cl1 0.1304 0.7226 0.5160  1 S 2.12
Cl2 0.1335 0.2284 0.7450  1 V 2.32
Cl3 0.2284 0.7450 0.1335  1 V 2.32
Cl4 0.2550 0.8665 0.7716  1 V 2.32
Cl5 0.2774 0.4840 0.8696  1 S 2.12
Cl6 0.4840 0.8696 0.2774  1 S 2.12
Cl7 0.5160 0.1304 0.7226  1 S 2.12
Cl8 0.7226 0.5160 0.1304  1 S 2.12
Cl9 0.7450 0.1335 0.2284  1 V 2.32
Cl10 0.7716 0.2550 0.8665  1 V 2.32
Cl11 0.8665 0.7716 0.2550  1 V 2.32
Cl12 0.8696 0.2774 0.4840  1 S 2.12

***

Computed, not measured: a relaxed structure of Ba2AlCd3Sn4 at the PBE-GGA level of DFT.

Values from the calculation:
For the total moment, the calculation gives 0.00 μB per formula unit. Its space group is P-4m2. The calculation puts the total DFT energy (no corrections) at -30.07 eV for the cell shown.

Unit cell a=4.9797 b=4.9797 c=11.9418 alpha=90.00 beta=90.00 gamma=90.00
Last column: nearest neighbours and their distance in Å.
Positions (direct):
Ba1 0.0000 0.5000 0.2458  6 Cd 3.79-3.85, 8 Sn 3.80-3.93, 2 Al 3.85
Ba2 0.5000 0.0000 0.7542  6 Cd 3.79-3.85, 8 Sn 3.80-3.93, 2 Al 3.85
Al1 0.5000 0.5000 0.0000  4 Sn 2.91
Cd1 0.0000 0.0000 0.0000  4 Sn 2.91
Cd2 0.0000 0.5000 0.6366  5 Sn 2.83-2.98
Cd3 0.5000 0.0000 0.3634  5 Sn 2.83-2.98
Sn1 0.0000 0.0000 0.5000  4 Cd 2.98
Sn2 0.0000 0.5000 0.8740  3 Cd 2.83-2.91, 2 Al 2.91
Sn3 0.5000 0.0000 0.1260  3 Cd 2.83-2.91, 2 Al 2.91
Sn4 0.5000 0.5000 0.5000  4 Cd 2.98